This record from the Alexandria database describes an optimized crystal structure of Mg2CoBr. The functional is GGA-PBE.

Cell lengths 4.0940, 5.3782, 5.3782 Å; angles 37.26, 90.00, 90.00 degrees
Sites, in units of the cell vectors:
Mg: 0.0000 0.0000 0.0000
Mg: 0.5000 0.3242 0.3242
Co: 0.0000 0.7471 0.7471
Br: 0.5000 0.6051 0.6051

Results
Final energy ... -2.96 eV/atom
Energy above the most stable polymorph in this dataset ... 0.76 eV per formula unit
D(E_F) ... 2.12 states/eV/f.u.
Formation energy without anion corrections ... 0.1 eV/f.u.

---

This record from the Alexandria database describes an optimized crystal structure of MgCoBr2. The functional is GGA-PBE.

Cell lengths 6.3686, 6.3686, 6.3686 Å; angles 148.75, 103.70, 84.73 degrees
Sites, in units of the cell vectors:
Mg: 0.0000 0.0000 0.0000
Co: 0.2393 0.7393 0.5000
Br: 0.4120 0.4120 0.0000
Br: 0.7997 0.2997 0.5000

Results
Final energy ... -3.11 eV/atom
Energy above the most stable polymorph in this dataset ... 1.06 eV per formula unit
D(E_F) ... 5.86 states/eV/f.u.
Formation energy without anion corrections ... -0.4 eV/f.u.

---

This record from the Alexandria database describes an optimized crystal structure of Mg2CoBr. The functional is GGA-PBE.

Cell lengths 3.5365, 3.5365, 7.5166 Å; angles 90.00, 90.00, 90.00 degrees
Sites, in units of the cell vectors:
Mg: 0.0000 0.0000 0.0000
Mg: 0.5000 0.5000 0.2769
Co: 0.5000 0.5000 0.9470
Br: 0.0000 0.0000 0.4607

Results
Final energy ... -2.94 eV/atom
Energy above the most stable polymorph in this dataset ... 0.82 eV per formula unit
D(E_F) ... 3.65 states/eV/f.u.
Formation energy without anion corrections ... 0.2 eV/f.u.

---

This record from the Alexandria database describes an optimized crystal structure of MgCoBr2. The functional is GGA-PBE.

Cell lengths 3.7680, 3.7680, 7.9728 Å; angles 90.00, 90.00, 122.32 degrees
Sites, in units of the cell vectors:
Mg: 0.0000 0.0000 0.0000
Co: 0.0000 0.0000 0.5000
Br: 0.5000 0.5000 0.2854
Br: 0.5000 0.5000 0.7146

Results
Final energy ... -3.00 eV/atom
Energy above the most stable polymorph in this dataset ... 1.49 eV per formula unit
D(E_F) ... 4.77 states/eV/f.u.
Formation energy without anion corrections ... 0.0 eV/f.u.

---

This record from the Alexandria database describes an optimized crystal structure of MgCo2Br. The functional is GGA-PBE.

Cell lengths 6.2076, 6.2076, 6.2076 Å; angles 149.87, 138.56, 52.09 degrees
Sites, in units of the cell vectors:
Mg: 0.0000 0.0000 0.0000
Co: 0.4876 0.4876 0.0000
Co: 0.6258 0.1258 0.5000
Br: 0.2997 0.7997 0.5000

Results
Final energy ... -4.03 eV/atom
Energy above the most stable polymorph in this dataset ... 1.12 eV per formula unit
D(E_F) ... 3.05 states/eV/f.u.
Formation energy without anion corrections ... 1.4 eV/f.u.

---

This record from the Alexandria database describes an optimized crystal structure of MgCoBr2. The functional is GGA-PBE.

Cell lengths 3.3229, 3.3229, 8.6680 Å; angles 90.00, 90.00, 90.00 degrees
Sites, in units of the cell vectors:
Mg: 0.0000 0.0000 0.0000
Co: 0.5000 0.5000 0.7784
Br: 0.0000 0.0000 0.6447
Br: 0.5000 0.5000 0.1799

Results
Final energy ... -3.18 eV/atom
Energy above the most stable polymorph in this dataset ... 0.78 eV per formula unit
D(E_F) ... 3.01 states/eV/f.u.
Formation energy without anion corrections ... -0.7 eV/f.u.

---

no.,volume (A^3/atom)
1,17.92
2,31.75
3,23.50
4,23.91
5,19.77
6,23.93